Entry 1:
Below is a geometry-optimized PrYEr2Se4 structure, with properties calculated at the PBE-GGA level.

Calculated values
The value obtained for the energy relative to the elements, uncorrected is -1747 meV per atom.

Cell: 4.039 7.251 7.071 Å, 71.40 90.00 90.00°
Fractional coordinates of all 8 atoms:
Se  0.000  0.766  0.738
Se  0.000  0.234  0.262
Se  0.500  0.761  0.253
Se  0.500  0.239  0.747
Er  0.500  0.000  0.500
Er  0.000  0.000  0.000
Y  0.000  0.500  0.500
Pr  0.500  0.500  0.000

***

Entry 2:
Below is a geometry-optimized TiPAuCl2 structure, with properties calculated at the PBE-GGA level.

Calculated values
The relative energy among the computed polymorphs is 0.000 eV/atom. The value obtained for the energy relative to the elements, uncorrected is -257 meV per atom.

Cell: 4.580 4.580 5.184 Å, 90.00 90.00 90.00°
Fractional coordinates of all 5 atoms:
Cl  0.000  0.500  0.000
Cl  0.500  0.000  0.000
P  0.000  0.000  0.500
Au  0.500  0.500  0.500
Ti  0.000  0.000  0.000

***

Entry 3:
Below is a geometry-optimized CsHg2F4 structure, with properties calculated at the PBE-GGA level.

Calculated values
The relative energy among the computed polymorphs is 0.000 eV/atom. The value obtained for the energy relative to the elements, uncorrected is -1629 meV per atom.

Cell: 7.092 7.092 7.994 Å, 116.33 116.33 90.00°
Fractional coordinates of all 14 atoms:
Hg  0.125  0.875  0.750
Hg  0.125  0.375  0.250
Hg  0.125  0.875  0.250
Hg  0.625  0.875  0.750
F  0.825  0.677  0.898
F  0.470  0.575  0.398
F  0.780  0.175  0.102
F  0.072  0.220  0.898
F  0.178  0.530  0.602
F  0.425  0.073  0.602
F  0.927  0.822  0.398
F  0.323  0.928  0.102
Cs  0.750  0.250  0.500
Cs  0.500  0.500  0.000

***

Entry 4:
Below is a geometry-optimized NaLaZn2Co structure, with properties calculated at the PBE-GGA level.

Calculated values
For the formation energy, the calculation gives -0.039 eV per atom.

Cell: 4.905 4.905 4.855 Å, 90.00 90.00 90.00°
Fractional coordinates of all 5 atoms:
Co  0.000  0.000  0.000
Zn  0.500  0.000  0.000
Zn  0.000  0.500  0.000
La  0.000  0.000  0.500
Na  0.500  0.500  0.500

***

Entry 5:
Below is a geometry-optimized InTeI2F structure, with properties calculated at the PBE-GGA level.

Calculated values
The relative energy among the computed polymorphs is 0.367 eV/atom. The value obtained for the energy relative to the elements, uncorrected is 48 meV per atom.

Cell: 5.819 5.819 5.965 Å, 90.00 90.00 90.00°
Last column: magnetic moment on the atom in μB.
Fractional coordinates of all 5 atoms:
F  0.500  0.500  0.500  0.40
I  0.500  0.000  0.000  0.11
I  0.000  0.500  0.000  0.11
Te  0.000  0.000  0.500  0.80
In  0.000  0.000  0.000  -0.02

***

Entry 6:
Below is a geometry-optimized MgHg3Pb structure, with properties calculated at the PBE-GGA level.

Calculated values
The relative energy among the computed polymorphs is 0.000 eV/atom. For the formation energy, the calculation gives -0.048 eV per atom.

Cell: 3.385 7.470 11.393 Å, 94.00 98.54 62.01°
Fractional coordinates of all 10 atoms:
Hg  0.433  0.750  0.866
Hg  0.910  0.506  0.335
Hg  0.425  0.994  0.335
Hg  0.575  0.006  0.665
Hg  0.567  0.250  0.134
Hg  0.090  0.494  0.665
Pb  0.058  0.750  0.116
Pb  0.942  0.250  0.884
Mg  0.253  0.750  0.505
Mg  0.747  0.250  0.495

***

Entry 7:
Below is a geometry-optimized Tb3Pm2SmP6 structure, with properties calculated at the PBE-GGA level.

Calculated values
For the formation energy, the calculation gives -1.587 eV per atom.

Cell: 7.060 7.060 7.060 Å, 99.58 99.58 119.99°
Fractional coordinates of all 12 atoms:
P  0.753  0.753  0.256
P  0.582  0.915  0.744
P  0.085  0.418  0.256
P  0.247  0.247  0.744
P  0.915  0.582  0.744
P  0.418  0.085  0.256
Pm  0.667  0.333  0.000
Pm  0.333  0.667  0.000
Tb  0.167  0.833  0.500
Tb  0.833  0.167  0.500
Tb  0.500  0.500  0.500
Sm  0.000  0.000  0.000

***

Entry 8:
Below is a geometry-optimized AcPrTlI structure, with properties calculated at the PBE-GGA level.

Calculated values
The relative energy among the computed polymorphs is 0.000 eV/atom. The value obtained for the energy relative to the elements, uncorrected is -630 meV per atom.

Cell: 4.767 4.767 8.084 Å, 72.85 72.85 60.00°
Fractional coordinates of all 4 atoms:
Pr  0.436  0.436  0.692
I  0.190  0.190  0.431
Tl  0.699  0.699  0.904
Ac  0.952  0.952  0.144

***

Entry 9:
Below is a geometry-optimized CaTb2Nd structure, with properties calculated at the PBE-GGA level.

Calculated values
The relative energy among the computed polymorphs is 0.051 eV/atom. For the formation energy, the calculation gives 0.109 eV per atom.

Cell: 5.211 5.130 5.130 Å, 90.00 90.00 90.00°
Fractional coordinates of all 4 atoms:
Nd  0.500  0.500  0.500
Ca  0.500  0.000  0.000
Tb  0.000  0.000  0.500
Tb  0.000  0.500  0.000

***

Entry 10:
Below is a geometry-optimized GeSbTe2Os structure, with properties calculated at the PBE-GGA level.

Calculated values
The relative energy among the computed polymorphs is 0.000 eV/atom. The value obtained for the energy relative to the elements, uncorrected is 802 meV per atom.

Cell: 5.361 5.361 4.999 Å, 90.00 90.00 90.00°
Fractional coordinates of all 5 atoms:
Te  0.500  0.000  0.000
Te  0.000  0.500  0.000
Os  0.000  0.000  0.000
Sb  0.000  0.000  0.500
Ge  0.500  0.500  0.500

***

Entry 11:
Below is a geometry-optimized Ca2ReCl structure, with properties calculated at the PBE-GGA level.

Calculated values
The relative energy among the computed polymorphs is 0.579 eV/atom. The value obtained for the energy relative to the elements, uncorrected is 338 meV per atom.

Cell: 7.609 7.609 6.560 Å, 54.55 54.55 90.00°
Last column: magnetic moment on the atom in μB.
Fractional coordinates of all 8 atoms:
Re  0.750  0.250  0.500  2.02
Re  0.000  0.000  0.000  2.00
Ca  0.875  0.854  0.750  -0.01
Ca  0.146  0.625  0.250  -0.01
Ca  0.375  0.396  0.750  0.00
Ca  0.604  0.125  0.250  -0.01
Cl  0.250  0.750  0.500  0.02
Cl  0.500  0.500  0.000  0.02

***

Entry 12:
Below is a geometry-optimized TbDyIrPb structure, with properties calculated at the PBE-GGA level.

Calculated values
The relative energy among the computed polymorphs is 0.000 eV/atom. For the formation energy, the calculation gives -0.676 eV per atom.

Cell: 3.501 3.501 8.046 Å, 90.00 90.00 90.00°
Fractional coordinates of all 4 atoms:
Dy  0.500  0.500  0.367
Ir  0.000  0.000  0.569
Pb  0.000  0.000  0.073
Tb  0.500  0.500  0.776